First-principles (PBE) data for a relaxed structure of Y2CdO, as listed in Alexandria.

```
8
Lattice="-3.4414 3.4414 4.0452 3.4414 -3.4414 4.0452 3.4414 3.4414 -4.0452" Properties=species:S:1:pos:R:3 pbc="T T T"
Y 1.7207 0.9967 -1.0113
Y 2.4447 -1.7207 5.0565
Y 1.7207 2.4447 3.0339
Y 0.9967 5.1621 1.0113
Cd 3.4414 0.0000 2.0226
Cd 0.0000 0.0000 4.0452
O 0.0000 0.0000 0.0000
O 0.0000 3.4414 2.0226
```

Values from the calculation:
space group = I-42d (122)
V = 192 Å³/cell
magnetization = 0.0 Bohr magnetons per cell
DFT total energy = -6.1512 eV per atom



First-principles (PBE) data for a relaxed structure of KLa2PdSe, as listed in Alexandria.

```
5
Lattice="5.6921 0.0000 0.0000 0.0000 5.6921 0.0000 0.0000 0.0000 5.7402" Properties=species:S:1:pos:R:3 pbc="T T T"
K 0.0000 0.0000 0.0000
La 0.0000 2.8460 2.8701
La 2.8460 0.0000 2.8701
Pd 2.8460 2.8460 0.0000
Se 0.0000 0.0000 2.8701
```

Values from the calculation:
space group = P4/mmm (123)
V = 186 Å³/cell
magnetization = 0.0 Bohr magnetons per cell
DFT total energy = -4.2018 eV per atom



First-principles (PBE) data for a relaxed structure of Nd2YSi6, as listed in Alexandria.

```
9
Lattice="7.1510 0.0000 0.0000 -3.5755 6.1929 0.0000 0.0000 0.0000 4.0970" Properties=species:S:1:pos:R:3 pbc="T T T"
Nd 0.0000 4.1286 0.0000
Nd 3.5755 2.0643 0.0000
Y 0.0000 0.0000 0.0000
Si -1.1841 2.0509 2.0485
Si -2.3914 4.1420 2.0485
Si 2.3682 0.0000 2.0485
Si 1.1841 2.0509 2.0485
Si 4.7828 0.0000 2.0485
Si 2.3914 4.1420 2.0485
```

Values from the calculation:
space group = P6/mmm (191)
V = 181 Å³/cell
magnetization = 0.0 Bohr magnetons per cell
DFT total energy = -5.9512 eV per atom



First-principles (PBE) data for a relaxed structure of Pm2HoPb, as listed in Alexandria.

```
4
Lattice="0.0000 3.9344 3.9344 3.9344 0.0000 3.9344 3.9344 3.9344 0.0000" Properties=species:S:1:pos:R:3 pbc="T T T"
Pm 1.9672 1.9672 1.9672
Pm 5.9016 5.9016 5.9016
Ho 0.0000 0.0000 0.0000
Pb 3.9344 3.9344 3.9344
```

Values from the calculation:
E_form = -0.143 eV per atom
space group = Fm-3m (225)
V = 122 Å³/cell
magnetization = 0.1 Bohr magnetons per cell
DFT total energy = -4.5902 eV per atom



First-principles (PBE) data for a relaxed structure of TbY2Sc8, as listed in Alexandria.

```
11
Lattice="4.3655 -8.0517 0.0000 4.3655 8.0517 0.0000 -3.4566 0.0000 4.2769" Properties=species:S:1:pos:R:3 pbc="T T T"
Tb 0.0000 0.0000 0.0000
Y 2.6372 3.0683 2.1384
Y 2.6372 -3.0683 2.1384
Sc -0.5360 2.0601 3.0994
Sc 4.3655 4.7976 0.0000
Sc -0.5360 -2.0601 3.0994
Sc 3.4643 0.0000 1.0932
Sc 1.8102 0.0000 3.1836
Sc 5.8104 2.0601 1.1775
Sc 4.3655 -4.7976 0.0000
Sc 5.8104 -2.0601 1.1775
```

Values from the calculation:
E_form = 0.135 eV per atom
space group = C2/m (12)
V = 301 Å³/cell
magnetization = 0.0 Bohr magnetons per cell
DFT total energy = -6.0658 eV per atom



First-principles (PBE) data for a relaxed structure of Fe6CoPd12, as listed in Alexandria.

```
19
Lattice="4.5524 2.6283 3.8625 -4.5524 2.6283 3.8625 0.0000 -5.2566 3.8625" Properties=species:S:1:pos:R:3 pbc="T T T"
Fe -0.7174 -2.3616 5.3437
Fe -2.4039 -0.5595 6.2439
Fe -1.6865 1.8021 5.3437
Fe 1.6865 -1.8021 6.2439
Fe 2.4039 0.5595 5.3437
Fe 0.7174 2.3616 6.2439
Co 0.0000 0.0000 5.7938
Pd -4.0999 0.9553 4.8989
Pd -2.8773 -3.0729 6.6887
Pd -1.5627 -0.2172 3.6970
Pd 1.2226 -4.0283 4.8989
Pd 0.9694 -1.2447 3.6970
Pd 0.5933 1.4619 3.6970
Pd -0.5933 -1.4619 7.8906
Pd -0.9694 1.2447 7.8906
Pd -1.2226 4.0283 6.6887
Pd 1.5626 0.2172 7.8906
Pd 2.8773 3.0730 4.8989
Pd 4.0999 -0.9553 6.6887
```

Values from the calculation:
E_form = -0.025 eV per atom
space group = R-3 (148)
V = 277 Å³/cell
magnetization = 24.2 Bohr magnetons per cell
DFT total energy = -6.3510 eV per atom



First-principles (PBE) data for a relaxed structure of CaNb2P2O10, as listed in Alexandria.

```
15
Lattice="6.5243 0.0000 0.0000 0.0000 6.5243 0.0000 0.0000 0.0000 6.0885" Properties=species:S:1:pos:R:3 pbc="T T T"
Ca 0.0000 0.0000 0.0000
Nb 0.0000 3.2621 4.4657
Nb 3.2621 0.0000 1.6228
P 0.0000 0.0000 3.0443
P 3.2621 3.2621 3.0443
O 0.0000 1.1813 4.0360
O 0.0000 3.2621 0.1464
O 0.0000 5.3429 4.0360
O 1.1813 0.0000 2.0525
O 1.9989 3.2621 3.9313
O 3.2621 0.0000 5.9421
O 3.2621 1.9989 2.1572
O 3.2621 4.5254 2.1572
O 4.5254 3.2621 3.9313
O 5.3429 0.0000 2.0525
```

Values from the calculation:
space group = P-4m2 (115)
V = 259 Å³/cell
magnetization = 2.0 Bohr magnetons per cell
DFT total energy = -7.8089 eV per atom



First-principles (PBE) data for a relaxed structure of LiLu2Tc, as listed in Alexandria.

```
4
Lattice="1.6850 0.9728 9.6151 -1.6850 0.9728 9.6151 0.0000 -1.9457 9.6151" Properties=species:S:1:pos:R:3 pbc="T T T"
Li 0.0000 0.0000 0.0000
Lu 0.0000 0.0000 6.8001
Lu 0.0000 0.0000 22.0452
Tc 0.0000 0.0000 14.4227
```

Values from the calculation:
E_form = 0.127 eV per atom
space group = R-3m (166)
V = 95 Å³/cell
magnetization = 0.0 Bohr magnetons per cell
DFT total energy = -5.2032 eV per atom